[1]
# HfMgTi2 PBE-GGA relaxed
# Spin magnetization   0.00 μB/atom
# Electronic total energy   -26.74 eV per cell
# Crystal system   tetragonal
# Formation enthalpy at 0 K   0.1496 eV/atom
data_HfMgTi2
_cell_length_a 4.2662
_cell_length_b 4.2662
_cell_length_c 4.2220
_cell_angle_alpha 90.00
_cell_angle_beta 90.00
_cell_angle_gamma 90.00
_symmetry_space_group_name_H-M 'P 4/m m m'
_symmetry_Int_Tables_number 123
_symmetry_space_group_name_Hall '-P 4 2'
loop_
_atom_site_label
_atom_site_fract_x
_atom_site_fract_y
_atom_site_fract_z
Hf1 0.0000 0.0000 0.0000
Mg1 0.5000 0.5000 0.0000
Ti1 0.0000 0.5000 0.5000

[2]
# TaTi5Pb2 PBE-GGA relaxed
# Spin magnetization   0.00 μB/atom
# Electronic total energy   -118.07 eV per cell
# Crystal system   tetragonal
# Formation enthalpy at 0 K   -0.0366 eV/atom
data_TaTi5Pb2
_cell_length_a 4.8995
_cell_length_b 4.8995
_cell_length_c 12.5674
_cell_angle_alpha 90.00
_cell_angle_beta 90.00
_cell_angle_gamma 90.00
_symmetry_space_group_name_H-M 'I 4/m m m'
_symmetry_Int_Tables_number 139
_symmetry_space_group_name_Hall '-I 4 2'
loop_
_atom_site_label
_atom_site_fract_x
_atom_site_fract_y
_atom_site_fract_z
Ta1 0.0000 0.0000 0.0000
Ti1 0.0000 0.0000 0.5000
Ti2 0.0000 0.5000 0.1139
Pb1 0.0000 0.0000 0.2513

[3]
# H2SCl PBE-GGA relaxed
# Spin magnetization   0.05 μB/atom
# Electronic total energy   -53.26 eV per cell
# Crystal system   monoclinic
# Energy above the most stable polymorph in this dataset   0.00 kJ/mol of atoms
data_H2SCl
_cell_length_a 5.4467
_cell_length_b 7.3659
_cell_length_c 9.1287
_cell_angle_alpha 90.00
_cell_angle_beta 126.61
_cell_angle_gamma 90.00
_symmetry_space_group_name_H-M 'P 1 21/c 1'
_symmetry_Int_Tables_number 14
loop_
_symmetry_equiv_pos_as_xyz
'x,y,z'
'-x,-y,-z'
'-x,y+1/2,-z+1/2'
'x,-y+1/2,z+1/2'
loop_
_atom_site_label
_atom_site_fract_x
_atom_site_fract_y
_atom_site_fract_z
H1 0.0691 0.2365 0.0682
H2 0.2621 0.0794 0.7615
S1 0.2561 0.2347 0.2553
Cl1 0.2492 0.7389 0.2500